1.
## FePt2 (PBE)

Data for a relaxed structure of FePt2.

For the uncorrected energy, the calculation gives -7.05 eV/atom. As for the energy of formation from the pure elements: -198 meV per atom. The calculation puts the density at 16.78 g/cm³. For the density of states at the Fermi level, the calculation gives 7.26 states/eV per cell.

The structure belongs to space group P-62m (No. 189); the cell edges are 7.4120, 7.4120 and 2.7833 Å and the angles 90.00°, 90.00° and 120.00°. Symmetry generates all atoms from Fe at (0.0000, 0.0000, 0.0000), Fe at (0.3333, 0.6667, 0.5000), Pt at (0.0000, 0.2971, 0.5000) and Pt at (0.0000, 0.6338, 0.0000).

=====

2.
## Tl2Ni3S4 (PBE)

Data for a relaxed structure of Tl2Ni3S4.

For the uncorrected energy, the calculation gives -4.67 eV/atom. As for the formation energy without anion corrections: -385 meV/atom. The calculation puts the density at 6.14 g/cm³.

The structure belongs to space group Fmmm (No. 69); the cell edges are 5.8420, 10.0395 and 13.1551 Å and the angles 90.00°, 90.00° and 90.00°. Symmetry generates all atoms from Tl at (0.0000, 0.0000, 0.1489), Ni at (0.0000, 0.0000, 0.5000), Ni at (0.2500, 0.2500, 0.0000) and S at (0.0000, 0.1668, 0.3905).

=====

3.
## Na2PaH6 (PBE)

Data for a relaxed structure of Na2PaH6.

For the uncorrected energy, the calculation gives -3.23 eV/atom. As for the excess energy over the best structure of this formula in the dataset: 517 meV/atom. The calculation puts the density at 3.32 g/cm³. For the density of states at the Fermi level, the calculation gives 17.06 states/eV per cell.

The structure belongs to space group Fm-3m (No. 225); the cell edges are 8.2697, 8.2697 and 8.2697 Å and the angles 90.00°, 90.00° and 90.00°. Symmetry generates all atoms from Na at (0.2500, 0.2500, 0.2500), Pa at (0.0000, 0.0000, 0.0000) and H at (0.0000, 0.0000, 0.2560).

=====

4.
## CuSi2 (PBE)

Data for a relaxed structure of CuSi2.

For the uncorrected energy, the calculation gives -4.69 eV/atom. As for the formation energy without anion corrections: 288 meV/atom. The calculation puts the density at 4.63 g/cm³. For the density of states at the Fermi level, the calculation gives 4.54 states/eV per cell.

The structure belongs to space group Cmcm (No. 63); the cell edges are 3.2294, 11.5637 and 4.5955 Å and the angles 90.00°, 90.00° and 90.00°. Symmetry generates all atoms from Cu at (0.0000, 0.1241, 0.2500), Si at (0.0000, 0.2109, 0.7500) and Si at (0.0000, 0.4534, 0.2500).

=====

5.
## Li2TmNpCl8 (PBE)

Data for a relaxed structure of Li2TmNpCl8.

For the uncorrected energy, the calculation gives -4.90 eV/atom. As for the formation energy without anion corrections: -1901 meV/atom. The calculation puts the density at 3.63 g/cm³. For the density of states at the Fermi level, the calculation gives 5.35 states/eV per cell.

The structure belongs to space group P-1 (No. 2); the cell edges are 6.3052, 6.3940 and 8.0107 Å and the angles 90.43°, 90.44° and 94.73°. Symmetry generates all atoms from Li at (0.0005, 0.0008, 0.2583), Tm at (0.5000, 0.5000, 0.5000), Np at (0.5000, 0.5000, 0.0000), Cl at (0.1975, 0.1787, 0.0051), Cl at (0.2063, 0.1898, 0.5018), Cl at (0.2948, 0.6807, 0.2612) and Cl at (0.2990, 0.6852, 0.7386).

=====

6.
## UOF (PBE)

Data for a relaxed structure of UOF.

For the uncorrected energy, the calculation gives -8.81 eV/atom. As for the formation energy without anion corrections: -2775 meV/atom. The calculation puts the density at 9.72 g/cm³. For the density of states at the Fermi level, the calculation gives 6.39 states/eV per cell.

The structure belongs to space group P3m1 (No. 156); the cell edges are 3.7972, 3.7972 and 3.7354 Å and the angles 90.00°, 90.00° and 120.00°. Symmetry generates all atoms from U at (0.0000, 0.0000, 0.0000), O at (0.3333, 0.6667, 0.1619) and F at (0.6667, 0.3333, 0.7037).

=====

7.
## LiInPb2O4 (PBE)

Data for a relaxed structure of LiInPb2O4.

For the uncorrected energy, the calculation gives -5.25 eV/atom. As for the formation energy without anion corrections: -1262 meV/atom. The calculation puts the density at 7.24 g/cm³. For the density of states at the Fermi level, the calculation gives 0.00 states/eV per cell.

The structure belongs to space group P1 (No. 1); the cell edges are 5.2405, 5.3784 and 6.0359 Å and the angles 110.65°, 114.05° and 97.54°. Symmetry generates all atoms from Li at (0.0000, 0.0000, 0.0000), In at (0.7457, 0.2437, 0.4966), Pb at (0.2476, 0.7528, 0.5352), Pb at (0.5270, 0.5312, 0.0246), O at (0.0984, 0.1672, 0.7644), O at (0.3384, 0.9208, 0.2739), O at (0.6778, 0.6045, 0.7168) and O at (0.8452, 0.2884, 0.2033).